[1]
# Nb2AlMoP PBE relaxed
data_Nb2AlMoP
_chemical_formula_sum 'Nb2 Al1 Mo1 P1'
_space_group_name_H-M_alt 'P 4/m m m'
_space_group_IT_number 123
_space_group_name_Hall '-P 4 2'
_cell_length_a 4.621
_cell_length_b 4.621
_cell_length_c 4.436
_cell_angle_alpha 90.00
_cell_angle_beta 90.00
_cell_angle_gamma 90.00
loop_
_atom_site_label
_atom_site_type_symbol
_atom_site_fract_x
_atom_site_fract_y
_atom_site_fract_z
Nb1 Nb 0.000 0.500 0.000
Al1 Al 0.000 0.000 0.500
Mo1 Mo 0.500 0.500 0.500
P1 P 0.500 0.500 0.000
# Crystal system = tetragonal
# Energy of formation from the pure elements = 0.2465 eV per atom

[2]
# Ca2Mg12TlAg3 PBE relaxed
data_Ca2Mg12TlAg3
_chemical_formula_sum 'Ca6 Mg36 Tl3 Ag9'
_space_group_name_H-M_alt 'R -3 m'
_space_group_IT_number 166
_space_group_name_Hall '-R 3 2"'
_cell_length_a 10.2909
_cell_length_b 10.2909
_cell_length_c 14.6296
_cell_angle_alpha 90.00
_cell_angle_beta 90.00
_cell_angle_gamma 120.00
loop_
_atom_site_label
_atom_site_type_symbol
_atom_site_fract_x
_atom_site_fract_y
_atom_site_fract_z
Ca1 Ca 0.0000 0.0000 0.1202
Mg1 Mg 0.0087 0.5044 0.1922
Mg2 Mg 0.0409 0.5205 0.3954
Tl1 Tl 0.0000 0.0000 0.5000
Ag1 Ag 0.0000 0.5000 0.0000
# Crystal system = trigonal
# Energy of formation from the pure elements = 0.0623 eV per atom

[3]
# MgZr2Br PBE relaxed
data_MgZr2Br
_chemical_formula_sum 'Mg1 Zr2 Br1'
_space_group_name_H-M_alt 'P 1 2/m 1'
_space_group_IT_number 10
_cell_length_a 3.234
_cell_length_b 5.240
_cell_length_c 5.454
_cell_angle_alpha 90.00
_cell_angle_beta 92.73
_cell_angle_gamma 90.00
loop_
_space_group_symop_operation_xyz
'x,y,z'
'-x,-y,-z'
'-x,y,-z'
'x,-y,z'
loop_
_atom_site_label
_atom_site_type_symbol
_atom_site_fract_x
_atom_site_fract_y
_atom_site_fract_z
Mg1 Mg 0.000 0.000 0.000
Zr1 Zr 0.317 0.500 0.228
Br1 Br 0.500 0.000 0.500
# ΔE_f (raw) = -0.035 eV per atom
# Crystal system = monoclinic
# Energy above the most stable polymorph in this dataset = 0.242 eV/atom

Number 1 is which compound? Nb2AlMoP

What is the formula in the third record? MgZr2Br

What did the first record say?
# Nb2AlMoP PBE relaxed
data_Nb2AlMoP
_chemical_formula_sum 'Nb2 Al1 Mo1 P1'
_space_group_name_H-M_alt 'P 4/m m m'
_space_group_IT_number 123
_space_group_name_Hall '-P 4 2'
_cell_length_a 4.621
_cell_length_b 4.621
_cell_length_c 4.436
_cell_angle_alpha 90.00
_cell_angle_beta 90.00
_cell_angle_gamma 90.00
loop_
_atom_site_label
_atom_site_type_symbol
_atom_site_fract_x
_atom_site_fract_y
_atom_site_fract_z
Nb1 Nb 0.000 0.500 0.000
Al1 Al 0.000 0.000 0.500
Mo1 Mo 0.500 0.500 0.500
P1 P 0.500 0.500 0.000
# Crystal system = tetragonal
# Energy of formation from the pure elements = 0.2465 eV per atom